Material: RbCdAg2
Method: DFT, PBE-GGA
State: optimized geometry

The space group is P-1 (No. 2) and the conventional cell measures 6.192, 6.972 and 7.120 Å, with angles of 101.41, 110.64 and 113.79 degrees. The asymmetric unit holds Rb at (0.123, 0.412, 0.259), Cd at (0.208, 0.981, 0.444), Ag at (0.351, 0.262, 0.880) and Ag at (0.463, 0.062, 0.183).

As for the crystal system: triclinic. As for the total magnetization: 0.00 μB per formula unit. The density of states at the Fermi level is 1.94 states/eV/cell. The uncorrected energy is -1.87 eV per atom. The calculation puts the formation energy at 0.03 eV per atom.